Entry 1:
{"formula": "KTe2Se", "functional": "PBE-GGA", "state": "optimized geometry", "m_tot_mub_per_atom": 0.000, "energy_ev_per_atom": -2.903, "sg": "I-42d, No. 122", "cell": [[-6.446, -2.893, 0.491], [2.245, -4.098, 5.323], [-4.122, 1.852, 7.877]], "species": ["K", "K", "Te", "Te", "Te", "Te", "Se", "Se"], "frac_coords": [[0.500, 0.500, 0.000], [0.250, 0.750, 0.500], [0.729, 0.125, 0.250], [0.021, 0.625, 0.250], [0.375, 0.271, 0.750], [0.875, 0.979, 0.750], [0.000, 0.000, 0.000], [0.750, 0.250, 0.500]]}

=====

Entry 2:
{"formula": "YHo2ErS4", "functional": "PBE-GGA", "state": "optimized geometry", "m_tot_mub_per_atom": 0.000, "energy_ev_per_atom": -6.558, "sg": "P2/m, No. 10", "cell": [[-3.777, -0.735, -0.238], [-0.380, -0.228, 6.735], [-1.352, 6.188, 2.348]], "species": ["Y", "Ho", "Ho", "Er", "S", "S", "S", "S"], "frac_coords": [[0.500, 0.500, 0.000], [0.000, 0.000, 0.000], [0.500, 0.000, 0.500], [0.000, 0.500, 0.500], [0.000, 0.751, 0.747], [0.000, 0.249, 0.253], [0.500, 0.750, 0.252], [0.500, 0.250, 0.748]]}

=====

Entry 3:
{"formula": "NdScInPb", "functional": "PBE-GGA", "state": "optimized geometry", "formation_energy_mev_per_atom": -360, "m_tot_mub_per_atom": 0.000, "sg": "F-43m, No. 216", "cell": [[5.349, 0.000, 0.000], [2.674, 4.632, 0.000], [2.674, 1.544, 4.367]], "species": ["Pb", "Sc", "Nd", "In"], "frac_coords": [[0.750, 0.750, 0.750], [0.000, 0.000, 0.000], [0.500, 0.500, 0.500], [0.250, 0.250, 0.250]]}

=====

Entry 4:
{"formula": "MgBeTe2", "functional": "PBE-GGA", "state": "optimized geometry", "m_tot_mub_per_atom": 0.000, "de_polymorph_mev_per_atom": 830, "sg": "Cmmm, No. 65", "cell": [[4.924, -0.009, 0.000], [-0.631, 4.883, 0.000], [0.000, 0.000, 3.754]], "species": ["Be", "Mg", "Te", "Te"], "frac_coords": [[0.500, 0.000, 0.500], [0.000, 0.500, 0.500], [0.000, 0.000, 0.000], [0.500, 0.500, 0.000]]}

=====

Entry 5:
{"formula": "RbCuW3", "functional": "PBE-GGA", "state": "optimized geometry", "formation_energy_mev_per_atom": 2585, "m_tot_mub_per_atom": 0.000, "de_polymorph_mev_per_atom": 0, "sg": "Pm-3m, No. 221", "cell": [[-0.189, -4.756, -0.006], [2.646, -0.110, 3.954], [-3.952, 0.154, 2.649]], "species": ["Cu", "Rb", "W", "W", "W"], "frac_coords": [[0.000, 0.000, 0.000], [0.500, 0.500, 0.500], [0.000, 0.500, 0.000], [0.000, 0.000, 0.500], [0.500, 0.000, 0.000]]}

=====

Entry 6:
{"formula": "Cr2CdGeRh", "functional": "PBE-GGA", "state": "optimized geometry", "formation_energy_mev_per_atom": 1079, "m_tot_mub_per_atom": 1.367, "sg": "P4/mmm, No. 123", "cell": [[4.599, 0.000, 0.000], [0.000, 4.892, 0.000], [0.000, 0.000, 4.599]], "species": ["Cr", "Cr", "Ge", "Rh", "Cd"], "frac_coords": [[0.000, 0.000, 0.500], [0.500, 0.000, 0.000], [0.000, 0.000, 0.000], [0.500, 0.500, 0.500], [0.000, 0.500, 0.000]]}

=====

Entry 7:
{"formula": "ScHCCl2", "functional": "PBE-GGA", "state": "optimized geometry", "m_tot_mub_per_atom": 0.405, "energy_ev_per_atom": -3.818, "sg": "P4/mmm, No. 123", "cell": [[-0.179, -4.313, 2.060], [3.514, -0.043, 0.214], [-0.237, 2.067, 4.307]], "species": ["Sc", "H", "C", "Cl", "Cl"], "frac_coords": [[0.000, 0.500, 0.000], [0.000, 0.000, 0.000], [0.500, 0.500, 0.500], [0.000, 0.000, 0.500], [0.500, 0.000, 0.000]]}

=====

Entry 8:
{"formula": "Sc2TiZn6", "functional": "PBE-GGA", "state": "optimized geometry", "formation_energy_mev_per_atom": -289, "m_tot_mub_per_atom": 0.065, "sg": "P6/mmm, No. 191", "cell": [[-0.690, -0.564, 2.926], [6.518, -3.683, 0.828], [-0.340, 7.403, 1.346]], "species": ["Sc", "Sc", "Ti", "Zn", "Zn", "Zn", "Zn", "Zn", "Zn"], "frac_coords": [[0.000, 0.333, 0.667], [0.000, 0.667, 0.333], [0.000, 0.000, 0.000], [0.500, 0.329, 0.329], [0.500, 0.671, 0.671], [0.500, 0.000, 0.671], [0.500, 0.671, 0.000], [0.500, 0.329, 0.000], [0.500, 0.000, 0.329]]}

=====

Entry 9:
{"formula": "Rb2In4SnAu3", "functional": "PBE-GGA", "state": "optimized geometry", "formation_energy_mev_per_atom": -240, "m_tot_mub_per_atom": 0.000, "sg": "P-4m2, No. 115", "cell": [[-0.247, -2.296, -4.503], [4.512, 1.931, -1.232], [5.113, -9.149, 4.384]], "species": ["Rb", "Rb", "In", "In", "In", "In", "Sn", "Au", "Au", "Au"], "frac_coords": [[0.500, 0.000, 0.252], [0.000, 0.500, 0.748], [0.500, 0.500, 0.000], [0.000, 0.000, 0.000], [0.500, 0.000, 0.637], [0.000, 0.500, 0.363], [0.500, 0.500, 0.500], [0.000, 0.000, 0.500], [0.500, 0.000, 0.882], [0.000, 0.500, 0.118]]}

=====

Entry 10:
{"formula": "ZnTc", "functional": "PBE-GGA", "state": "optimized geometry", "formation_energy_mev_per_atom": 78, "m_tot_mub_per_atom": 0.000, "de_polymorph_mev_per_atom": 118, "sg": "C2/m, No. 12", "cell": [[4.794, 0.000, 0.000], [-0.556, 4.574, -0.005], [0.000, 0.830, 2.623]], "species": ["Tc", "Tc", "Zn", "Zn"], "frac_coords": [[0.940, 0.000, 0.000], [0.143, 0.500, 0.250], [0.436, 0.998, 0.501], [0.647, 0.502, 0.749]]}

=====

Entry 11:
{"formula": "BeRu2Br", "functional": "PBE-GGA", "state": "optimized geometry", "m_tot_mub_per_atom": 0.000, "de_polymorph_mev_per_atom": 576, "sg": "I-4m2, No. 119", "cell": [[4.804, -0.032, 0.000], [1.859, 4.430, 0.000], [-3.331, -2.199, 2.673]], "species": ["Ru", "Ru", "Br", "Be"], "frac_coords": [[0.000, 0.000, 0.000], [0.250, 0.750, 0.500], [0.750, 0.250, 0.500], [0.500, 0.500, 0.000]]}

=====

Entry 12:
{"formula": "Zr2TiAu2", "functional": "PBE-GGA", "state": "optimized geometry", "formation_energy_mev_per_atom": -301, "m_tot_mub_per_atom": 0.300, "de_polymorph_mev_per_atom": 0, "sg": "P4/mbm, No. 127", "cell": [[-7.380, -0.985, 1.839], [-0.348, -6.084, -4.656], [0.938, -2.080, 2.648]], "species": ["Au", "Au", "Au", "Au", "Zr", "Zr", "Zr", "Zr", "Ti", "Ti"], "frac_coords": [[0.371, 0.871, 0.000], [0.871, 0.629, 0.000], [0.629, 0.129, 0.000], [0.129, 0.371, 0.000], [0.172, 0.672, 0.500], [0.672, 0.828, 0.500], [0.828, 0.328, 0.500], [0.328, 0.172, 0.500], [0.000, 0.000, 0.000], [0.500, 0.500, 0.000]]}